# FeCuPt3 (PBE-GGA, optimized geometry)
# ΔH_f (0 K)   1.086 eV per atom
# VASP energy   -5.0506 eV per atom
# Energy above the most stable polymorph in this dataset   1.265 eV per atom
data_FeCuPt3
_chemical_formula_sum 'Fe1 Cu1 Pt3'
_space_group_name_H-M_alt 'P m -3 m'
_space_group_IT_number 221
_space_group_name_Hall '-P 4 2 3'
_cell_length_a 4.541
_cell_length_b 4.541
_cell_length_c 4.541
_cell_angle_alpha 90.00
_cell_angle_beta 90.00
_cell_angle_gamma 90.00
loop_
_atom_site_label
_atom_site_fract_x
_atom_site_fract_y
_atom_site_fract_z
Fe1 0.000 0.000 0.000
Cu1 0.500 0.500 0.500
Pt1 0.000 0.500 0.500

# Ac2TmGa12Co3 (PBE-GGA, optimized geometry)
# ΔH_f (0 K)   -0.063 eV per atom
# VASP energy   -3.9705 eV per atom
data_Ac2TmGa12Co3
_chemical_formula_sum 'Ac6 Tm3 Ga36 Co9'
_space_group_name_H-M_alt 'R -3 m'
_space_group_IT_number 166
_space_group_name_Hall '-R 3 2"'
_cell_length_a 8.6958
_cell_length_b 8.6958
_cell_length_c 19.2644
_cell_angle_alpha 90.00
_cell_angle_beta 90.00
_cell_angle_gamma 120.00
loop_
_atom_site_label
_atom_site_fract_x
_atom_site_fract_y
_atom_site_fract_z
Ac1 0.0000 0.0000 0.0919
Tm1 0.0000 0.0000 0.5000
Ga1 0.0509 0.5254 0.8805
Ga2 0.0967 0.5484 0.3273
Co1 0.0000 0.5000 0.0000

# Ca2PtS (PBE-GGA, optimized geometry)
# Formation energy (no corrections)   -1311 meV per atom
# VASP energy   -4.8535 eV per atom
data_Ca2PtS
_chemical_formula_sum 'Ca6 Pt3 S3'
_space_group_name_H-M_alt 'R 3 m'
_space_group_IT_number 160
_space_group_name_Hall 'R 3 -2"'
_cell_length_a 3.9754
_cell_length_b 3.9754
_cell_length_c 21.3271
_cell_angle_alpha 90.00
_cell_angle_beta 90.00
_cell_angle_gamma 120.00
loop_
_atom_site_label
_atom_site_fract_x
_atom_site_fract_y
_atom_site_fract_z
Ca1 0.0000 0.0000 0.0000
Ca2 0.0000 0.0000 0.1631
Pt1 0.0000 0.0000 0.5812
S1 0.0000 0.0000 0.4152

# Ta4Nb2Rh (PBE-GGA, optimized geometry)
# ΔH_f (0 K)   -0.014 eV per atom
# VASP energy   -10.7144 eV per atom
# Energy above the most stable polymorph in this dataset   0.000 eV per atom
data_Ta4Nb2Rh
_chemical_formula_sum 'Ta4 Nb2 Rh1'
_space_group_name_H-M_alt 'P -1'
_space_group_IT_number 2
_cell_length_a 2.810
_cell_length_b 7.190
_cell_length_c 7.258
_cell_angle_alpha 118.34
_cell_angle_beta 96.75
_cell_angle_gamma 97.07
loop_
_space_group_symop_operation_xyz
'x,y,z'
'-x,-y,-z'
loop_
_atom_site_label
_atom_site_fract_x
_atom_site_fract_y
_atom_site_fract_z
Ta1 0.101 0.077 0.359
Ta2 0.251 0.644 0.218
Nb1 0.468 0.216 0.071
Rh1 0.500 0.500 0.500

# Sb2SeBr (PBE-GGA, optimized geometry)
# Formation energy (no corrections)   232 meV per atom
# VASP energy   -3.1181 eV per atom
# Energy above the most stable polymorph in this dataset   0.372 eV per atom
data_Sb2SeBr
_chemical_formula_sum 'Sb4 Se2 Br2'
_space_group_name_H-M_alt 'C m m m'
_space_group_IT_number 65
_space_group_name_Hall '-C 2 2'
_cell_length_a 7.363
_cell_length_b 7.372
_cell_length_c 3.701
_cell_angle_alpha 90.00
_cell_angle_beta 90.00
_cell_angle_gamma 90.00
loop_
_atom_site_label
_atom_site_fract_x
_atom_site_fract_y
_atom_site_fract_z
Sb1 0.250 0.250 0.000
Se1 0.000 0.000 0.500
Br1 0.000 0.500 0.500

# LaScAs2Rh5 (PBE-GGA, optimized geometry)
# ΔH_f (0 K)   -0.603 eV per atom
# VASP energy   -6.9718 eV per atom
data_LaScAs2Rh5
_chemical_formula_sum 'La1 Sc1 As2 Rh5'
_space_group_name_H-M_alt 'P 4/m m m'
_space_group_IT_number 123
_space_group_name_Hall '-P 4 2'
_cell_length_a 4.091
_cell_length_b 4.091
_cell_length_c 10.804
_cell_angle_alpha 90.00
_cell_angle_beta 90.00
_cell_angle_gamma 90.00
loop_
_atom_site_label
_atom_site_fract_x
_atom_site_fract_y
_atom_site_fract_z
La1 0.000 0.000 0.000
Sc1 0.000 0.000 0.500
As1 0.500 0.500 0.222
Rh1 0.000 0.500 0.335
Rh2 0.500 0.500 0.000